Entry 1:
SmCoGe3: relaxed, PBE.

Cell: 5.790 5.790 5.790 Å, 136.50 136.50 63.21°
Fractional positions:
1 Sm 0.663 0.663 0.000
2 Co 0.996 0.996 0.000
3 Ge 0.226 0.226 0.000
4 Ge 0.403 0.903 0.500
5 Ge 0.903 0.403 0.500

Values from the calculation:
Raw total energy: -28.471 eV for the cell shown

Entry 2:
PaCoP2: relaxed, PBE.

Cell: 3.850 3.850 5.176 Å, 111.83 111.83 90.00°
Fractional positions:
1 Co 0.471 0.529 0.000
2 Pa 0.221 0.779 0.500
3 P 0.852 0.409 0.761
4 P 0.591 0.148 0.239

Values from the calculation:
Raw total energy: -31.558 eV for the cell shown

Entry 3:
NpBeW: relaxed, PBE.

Cell: 4.318 4.318 4.318 Å, 60.00 60.00 60.00°
Fractional positions:
1 Np 0.250 0.250 0.250
2 Be 0.500 0.500 0.500
3 W 0.000 0.000 0.000

Values from the calculation:
ΔE to the lowest computed polymorph: 2.44 eV per formula unit
Raw total energy: -24.630 eV for the cell shown

Entry 4:
PrDy2S3: relaxed, PBE.

Cell: 3.947 3.947 9.819 Å, 90.00 90.00 120.00°
Fractional positions:
1 Dy 0.667 0.333 0.338
2 S 0.333 0.667 0.182
3 Dy 0.333 0.667 0.662
4 S 0.000 0.000 0.500
5 Pr 0.000 0.000 0.000
6 S 0.667 0.333 0.818

Values from the calculation:
Raw total energy: -38.396 eV for the cell shown

Entry 5:
FeSbPtW: relaxed, PBE.

Cell: 4.505 4.505 4.505 Å, 60.00 60.00 60.00°
Fractional positions:
1 Pt 0.500 0.500 0.500
2 Sb 0.000 0.000 0.000
3 Fe 0.750 0.750 0.750
4 W 0.250 0.250 0.250

Values from the calculation:
ΔE to the lowest computed polymorph: 0.00 eV per formula unit
Raw total energy: -30.216 eV for the cell shown

Entry 6:
LiLu2ReO6: relaxed, PBE.

Cell: 5.200 5.560 8.999 Å, 90.00 122.89 90.00°
Fractional positions:
1 O 0.126 0.687 0.938
2 O 0.874 0.313 0.062
3 O 0.606 0.053 0.743
4 Re 0.500 0.500 0.000
5 Lu 0.786 0.420 0.757
6 Re 0.500 0.000 0.500
7 Lu 0.214 0.580 0.243
8 O 0.747 0.797 0.073
9 O 0.394 0.553 0.757
10 O 0.394 0.947 0.257
11 O 0.253 0.203 0.927
12 Lu 0.214 0.920 0.743
13 Lu 0.786 0.080 0.257
14 O 0.747 0.703 0.573
15 O 0.606 0.447 0.243
16 Li 0.000 0.500 0.500
17 Li 0.000 0.000 0.000
18 O 0.126 0.813 0.438
19 O 0.253 0.297 0.427
20 O 0.874 0.187 0.562

Values from the calculation:
Raw total energy: -158.719 eV for the cell shown

Entry 7:
ErB4Sb: relaxed, PBE.

Cell: 3.223 3.223 7.944 Å, 90.00 90.00 120.00°
Fractional positions:
1 B 0.333 0.667 0.736
2 B 0.333 0.667 0.264
3 Sb 0.000 0.000 0.000
4 B 0.667 0.333 0.264
5 Er 0.000 0.000 0.500
6 B 0.667 0.333 0.736

Values from the calculation:
ΔE to the lowest computed polymorph: 0.36 eV per formula unit
Raw total energy: -35.090 eV for the cell shown

Entry 8:
Dy2BeCuSi2: relaxed, PBE.

Cell: 3.970 3.970 7.958 Å, 90.00 90.00 120.00°
Fractional positions:
1 Cu 0.667 0.333 0.500
2 Dy 0.333 0.667 0.250
3 Dy 0.333 0.667 0.750
4 Si 0.667 0.333 0.000
5 Be 0.000 0.000 0.000
6 Si 0.000 0.000 0.500

Values from the calculation:
Raw total energy: -31.276 eV for the cell shown

Entry 9:
Tb2In6Si4Pt: relaxed, PBE.

Cell: 17.879 17.879 17.879 Å, 14.31 14.31 14.31°
Fractional positions:
1 Si 0.868 0.868 0.868
2 Pt 0.000 0.000 0.000
3 In 0.814 0.814 0.814
4 Si 0.261 0.261 0.261
5 In 0.684 0.684 0.684
6 Tb 0.565 0.565 0.565
7 Si 0.132 0.132 0.132
8 In 0.186 0.186 0.186
9 In 0.946 0.946 0.946
10 Tb 0.435 0.435 0.435
11 In 0.316 0.316 0.316
12 In 0.054 0.054 0.054
13 Si 0.739 0.739 0.739

Values from the calculation:
Raw total energy: -56.536 eV for the cell shown

Entry 10:
NaHgOs: relaxed, PBE.

Cell: 4.533 4.533 4.533 Å, 60.00 60.00 60.00°
Fractional positions:
1 Os 0.750 0.750 0.750
2 Na 0.000 0.000 0.000
3 Hg 0.250 0.250 0.250

Values from the calculation:
ΔE to the lowest computed polymorph: 1.15 eV per formula unit
Raw total energy: -7.686 eV for the cell shown

Entry 11:
Co: relaxed, PBE.

Cell: 3.240 3.240 4.571 Å, 90.00 90.00 120.00°
Fractional positions:
1 Co 0.000 0.000 0.250
2 Co 0.667 0.333 0.750
3 Co 0.333 0.667 0.250
4 Co 0.000 0.000 0.750

Values from the calculation:
ΔE to the lowest computed polymorph: 2.26 eV per formula unit
Raw total energy: -19.400 eV for the cell shown

Entry 12:
TmCdOs: relaxed, PBE.

Cell: 4.575 4.575 4.575 Å, 60.00 60.00 60.00°
Fractional positions:
1 Tm 0.750 0.750 0.750
2 Os 0.250 0.250 0.250
3 Cd 0.000 0.000 0.000

Values from the calculation:
ΔE to the lowest computed polymorph: 0.00 eV per formula unit
Raw total energy: -14.779 eV for the cell shown